Record 1
The following is a PBE calculation of a relaxed structure of K2LaPd, from the Alexandria database.

Properties
Its crystal system is tetragonal. The value obtained for the calculated total energy is -2.86 eV/atom. The relative energy among the computed polymorphs is 0 meV/atom. For the energy of formation from the pure elements, the calculation gives 0.22 eV/atom.

Unit cell a=12.0182 b=12.0182 c=8.9153 alpha=47.62 beta=47.62 gamma=90.00
Sites, in units of the cell vectors:
K 0.2500 0.6250 0.2500
K 0.3750 0.5000 0.7500
K 0.8750 0.7500 0.7500
K 0.5000 0.1250 0.2500
La 0.0000 0.0000 0.0000
La 0.7500 0.2500 0.5000
Pd 0.2500 0.7500 0.5000
Pd 0.5000 0.5000 0.0000

Record 2
The following is a PBE calculation of a relaxed structure of KLaPd3, from the Alexandria database.

Properties
Its crystal system is cubic. The value obtained for the calculated total energy is -4.09 eV/atom. The relative energy among the computed polymorphs is 0 meV/atom. For the energy of formation from the pure elements, the calculation gives 0.23 eV/atom.

Unit cell a=5.3851 b=5.3851 c=5.3851 alpha=90.00 beta=90.00 gamma=90.00
Sites, in units of the cell vectors:
Pd 0.5000 0.0000 0.0000
Pd 0.0000 0.0000 0.5000
Pd 0.0000 0.5000 0.0000
La 0.0000 0.0000 0.0000
K 0.5000 0.5000 0.5000

Record 3
The following is a PBE calculation of a relaxed structure of K2LaPd, from the Alexandria database.

Properties
Its crystal system is cubic. The value obtained for the calculated total energy is -2.46 eV/atom. The relative energy among the computed polymorphs is 405 meV/atom. For the energy of formation from the pure elements, the calculation gives 0.62 eV/atom.

Unit cell a=5.7206 b=5.7206 c=5.7206 alpha=60.00 beta=60.00 gamma=60.00
Site moments in Bohr magnetons follow the coordinates.
Sites, in units of the cell vectors:
Pd 0.0000 0.0000 0.0000  -0.01
K 0.7500 0.7500 0.7500  0.03
K 0.2500 0.2500 0.2500  0.03
La 0.5000 0.5000 0.5000  0.42

Record 4
The following is a PBE calculation of a relaxed structure of K2LaPd2, from the Alexandria database.

Properties
Its crystal system is tetragonal. The value obtained for the calculated total energy is -3.60 eV/atom. For the energy of formation from the pure elements, the calculation gives -0.10 eV/atom.

Unit cell a=7.3554 b=7.3554 c=5.7551 alpha=90.00 beta=90.00 gamma=90.00
Site moments in Bohr magnetons follow the coordinates.
Sites, in units of the cell vectors:
Pd 0.6289 0.1289 0.0000  0.01
Pd 0.1289 0.3711 0.0000  0.01
Pd 0.3711 0.8711 0.0000  0.01
Pd 0.8711 0.6289 0.0000  0.01
K 0.8377 0.3377 0.5000  0.01
K 0.3377 0.1623 0.5000  0.01
K 0.6623 0.8377 0.5000  0.01
K 0.1623 0.6623 0.5000  0.01
La 0.5000 0.5000 0.0000  0.10
La 0.0000 0.0000 0.0000  0.10

Record 5
The following is a PBE calculation of a relaxed structure of KLa2ScPd, from the Alexandria database.

Properties
Its crystal system is tetragonal. The value obtained for the calculated total energy is -3.31 eV/atom. For the energy of formation from the pure elements, the calculation gives 1.19 eV/atom.

Unit cell a=5.4641 b=4.8545 c=5.4641 alpha=90.00 beta=90.00 gamma=90.00
Sites, in units of the cell vectors:
K 0.0000 0.0000 0.0000
La 0.5000 0.0000 0.0000
La 0.0000 0.0000 0.5000
Sc 0.0000 0.5000 0.0000
Pd 0.5000 0.5000 0.5000

Record 6
The following is a PBE calculation of a relaxed structure of KLaSi2Pd, from the Alexandria database.

Properties
Its crystal system is tetragonal. The formation energy from raw total energies is 0.10 eV/atom. The value obtained for the calculated total energy is -4.31 eV/atom.

Unit cell a=4.8334 b=5.2460 c=4.8334 alpha=90.00 beta=90.00 gamma=90.00
Sites, in units of the cell vectors:
Si 0.5000 0.0000 0.0000
Si 0.0000 0.0000 0.5000
K 0.0000 0.5000 0.0000
La 0.5000 0.5000 0.5000
Pd 0.0000 0.0000 0.0000

Record 7
The following is a PBE calculation of a relaxed structure of KSr2LaPd, from the Alexandria database.

Properties
Its crystal system is tetragonal. The value obtained for the calculated total energy is -3.11 eV/atom. For the energy of formation from the pure elements, the calculation gives -0.19 eV/atom.

Unit cell a=6.3041 b=6.3041 c=5.6511 alpha=90.00 beta=90.00 gamma=90.00
Sites, in units of the cell vectors:
Sr 0.0000 0.5000 0.0000
Sr 0.5000 0.0000 0.0000
La 0.0000 0.0000 0.5000
Pd 0.0000 0.0000 0.0000
K 0.5000 0.5000 0.5000

Record 8
The following is a PBE calculation of a relaxed structure of KLaY2Pd, from the Alexandria database.

Properties
Its crystal system is tetragonal. The value obtained for the calculated total energy is -4.23 eV/atom. For the energy of formation from the pure elements, the calculation gives 0.60 eV/atom.

Unit cell a=5.9855 b=5.2503 c=5.9855 alpha=90.00 beta=90.00 gamma=90.00
Sites, in units of the cell vectors:
Y 0.0000 0.0000 0.5000
Y 0.5000 0.0000 0.0000
K 0.5000 0.5000 0.5000
Pd 0.0000 0.5000 0.0000
La 0.0000 0.0000 0.0000

Record 9
The following is a PBE calculation of a relaxed structure of KLa2Pm, from the Alexandria database.

Properties
Its crystal system is trigonal. The value obtained for the calculated total energy is -3.75 eV/atom. For the energy of formation from the pure elements, the calculation gives 0.17 eV/atom.

Unit cell a=3.7269 b=3.7269 c=13.8360 alpha=82.26 beta=82.26 gamma=60.00
Sites, in units of the cell vectors:
K 0.0000 0.0000 0.0000
La 0.9051 0.9051 0.2848
La 0.0949 0.0949 0.7152
Pm 0.5000 0.5000 0.5000

Record 10
The following is a PBE calculation of a relaxed structure of K4La3PmS8, from the Alexandria database.

Properties
Its crystal system is trigonal. The formation energy from raw total energies is -1.91 eV/atom. The value obtained for the calculated total energy is -5.46 eV/atom.

Unit cell a=8.5258 b=8.8670 c=8.5264 alpha=118.75 beta=120.00 gamma=90.00
Sites, in units of the cell vectors:
S 0.7668 0.2930 0.5335
S 0.2332 0.7070 0.4665
S 0.2593 0.2930 0.0261
S 0.7362 0.7084 0.4724
S 0.2332 0.7070 0.9739
S 0.7407 0.7070 0.9739
S 0.2638 0.2916 0.5276
S 0.7668 0.2930 0.0261
Pm 0.0000 0.5000 0.0000
K 0.5000 0.0000 0.0000
K 0.5000 0.0000 0.5000
K 0.0000 0.0000 0.5000
K 0.0000 0.0000 0.0000
La 0.5000 0.5000 0.5000
La 0.0000 0.5000 0.5000
La 0.5000 0.5000 0.0000

Record 11
The following is a PBE calculation of a relaxed structure of KLaPm2S4, from the Alexandria database.

Properties
Its crystal system is monoclinic. The formation energy from raw total energies is -1.94 eV/atom. The value obtained for the calculated total energy is -5.95 eV/atom.

Unit cell a=4.0957 b=7.2728 c=7.1570 alpha=71.26 beta=90.00 gamma=90.00
Sites, in units of the cell vectors:
S 0.0000 0.2381 0.2485
S 0.0000 0.7619 0.7515
S 0.5000 0.7705 0.2345
S 0.5000 0.2295 0.7655
Pm 0.5000 0.0000 0.5000
Pm 0.0000 0.0000 0.0000
La 0.5000 0.5000 0.0000
K 0.0000 0.5000 0.5000

Record 12
The following is a PBE calculation of a relaxed structure of K3LaPm2S6, from the Alexandria database.

Properties
Its crystal system is monoclinic. The formation energy from raw total energies is -1.88 eV/atom. The value obtained for the calculated total energy is -5.42 eV/atom.

Unit cell a=7.2888 b=7.2888 c=7.7757 alpha=98.99 beta=98.99 gamma=120.00
Sites, in units of the cell vectors:
Pm 0.3333 0.6667 0.0000
Pm 0.6667 0.3333 0.0000
S 0.5924 0.9311 0.7934
S 0.9311 0.5924 0.7934
S 0.7302 0.7302 0.2069
S 0.4076 0.0689 0.2066
S 0.2698 0.2698 0.7931
S 0.0689 0.4076 0.2066
K 0.5000 0.5000 0.5000
K 0.1666 0.8334 0.5000
K 0.8334 0.1666 0.5000
La 0.0000 0.0000 0.0000

Record 13
The following is a PBE calculation of a relaxed structure of K3La2PmSe6, from the Alexandria database.

Properties
Its crystal system is monoclinic. The formation energy from raw total energies is -1.81 eV/atom. The value obtained for the calculated total energy is -5.04 eV/atom.

Unit cell a=7.6269 b=7.6269 c=8.0969 alpha=99.03 beta=99.03 gamma=120.00
Sites, in units of the cell vectors:
Se 0.6015 0.9297 0.7891
Se 0.9297 0.6015 0.7891
Se 0.7422 0.7422 0.2108
Se 0.2578 0.2578 0.7892
Se 0.3985 0.0703 0.2109
Se 0.0703 0.3985 0.2109
K 0.5000 0.5000 0.5000
K 0.1669 0.8331 0.5000
K 0.8331 0.1669 0.5000
La 0.6666 0.3334 0.0000
La 0.3334 0.6666 0.0000
Pm 0.0000 0.0000 0.0000